YSc4Ni5: relaxed, PBE.

Calculated values
symmetry = P4/mmm
DFT formation energy = -464 meV/atom

Cell lengths 3.1882, 3.1882, 16.3149 Å; angles 90.00, 90.00, 90.00 degrees
Positions (direct):
Y: 0.0000 0.0000 0.0000
Sc: 0.0000 0.0000 0.2081
Sc: 0.0000 0.0000 0.4030
Sc: 0.0000 0.0000 0.5970
Sc: 0.0000 0.0000 0.7919
Ni: 0.5000 0.5000 0.1164
Ni: 0.5000 0.5000 0.3063
Ni: 0.5000 0.5000 0.5000
Ni: 0.5000 0.5000 0.6937
Ni: 0.5000 0.5000 0.8836

Y2ScNi2: relaxed, PBE.

Calculated values
symmetry = C2/m
DFT formation energy = -372 meV/atom
energy above the most stable polymorph in this dataset = 0 meV/atom

Cell lengths 6.4290, 6.4290, 10.7592 Å; angles 118.38, 118.38, 33.43 degrees
Positions (direct):
Y: 0.0397 0.0397 0.1910
Y: 0.1639 0.1639 0.5785
Y: 0.8361 0.8361 0.4215
Y: 0.9603 0.9603 0.8090
Sc: 0.2903 0.2903 0.1353
Sc: 0.7097 0.7097 0.8647
Ni: 0.3804 0.3804 0.9487
Ni: 0.4988 0.4988 0.6206
Ni: 0.5012 0.5012 0.3794
Ni: 0.6196 0.6196 0.0513

Y2ScNi: relaxed, PBE.

Calculated values
symmetry = F-43m
DFT formation energy = 204 meV/atom
energy above the most stable polymorph in this dataset = 438 meV/atom

Cell lengths 5.0761, 5.0761, 5.0761 Å; angles 60.00, 60.00, 60.00 degrees
Positions (direct):
Y: 0.0000 0.0000 0.0000
Y: 0.2500 0.2500 0.2500
Sc: 0.7500 0.7500 0.7500
Ni: 0.5000 0.5000 0.5000

Y2ScNi: relaxed, PBE.

Calculated values
symmetry = I-4m2
DFT formation energy = 119 meV/atom
energy above the most stable polymorph in this dataset = 353 meV/atom

Cell lengths 6.0589, 6.0589, 6.0589 Å; angles 139.10, 139.10, 59.22 degrees
Positions (direct):
Y: 0.0000 0.0000 0.0000
Y: 0.7500 0.2500 0.5000
Sc: 0.5000 0.5000 0.0000
Ni: 0.2500 0.7500 0.5000

Y2ScNi: relaxed, PBE.

Calculated values
symmetry = R-3m
DFT formation energy = -14 meV/atom
energy above the most stable polymorph in this dataset = 220 meV/atom

Cell lengths 9.5382, 9.5382, 9.5382 Å; angles 21.46, 21.46, 21.46 degrees
Positions (direct):
Y: 0.2323 0.2323 0.2323
Y: 0.7677 0.7677 0.7677
Sc: 0.0000 0.0000 0.0000
Ni: 0.5000 0.5000 0.5000

YScNi2: relaxed, PBE.

Calculated values
symmetry = F-43m
DFT formation energy = -60 meV/atom

Cell lengths 4.5447, 4.5447, 4.5447 Å; angles 60.00, 60.00, 60.00 degrees
Positions (direct):
Y: 0.0000 0.0000 0.0000
Sc: 0.2500 0.2500 0.2500
Ni: 0.5000 0.5000 0.5000
Ni: 0.7500 0.7500 0.7500

YScNi: relaxed, PBE.

Calculated values
symmetry = P2_1/m
DFT formation energy = -324 meV/atom
energy above the most stable polymorph in this dataset = 0 meV/atom

Cell lengths 6.8009, 4.6261, 12.2409 Å; angles 90.00, 90.18, 90.00 degrees
Positions (direct):
Y: 0.0067 0.2500 0.2844
Y: 0.3803 0.7500 0.9141
Y: 0.4796 0.7500 0.6187
Y: 0.5204 0.2500 0.3813
Y: 0.6197 0.2500 0.0859
Y: 0.9933 0.7500 0.7156
Sc: 0.0352 0.2500 0.9162
Sc: 0.1377 0.2500 0.5480
Sc: 0.3503 0.7500 0.2149
Sc: 0.6497 0.2500 0.7851
Sc: 0.8623 0.7500 0.4520
Sc: 0.9648 0.7500 0.0838
Ni: 0.2162 0.2500 0.1039
Ni: 0.2401 0.7500 0.4339
Ni: 0.2764 0.2500 0.7534
Ni: 0.7236 0.7500 0.2466
Ni: 0.7599 0.2500 0.5661
Ni: 0.7838 0.7500 0.8961

Y2ScNi: relaxed, PBE.

Calculated values
symmetry = Pnma
DFT formation energy = -234 meV/atom
energy above the most stable polymorph in this dataset = 0 meV/atom

Cell lengths 6.6998, 9.2782, 6.2909 Å; angles 90.00, 90.00, 90.00 degrees
Positions (direct):
Y: 0.1862 0.0634 0.1831
Y: 0.1862 0.4366 0.1831
Y: 0.3138 0.5634 0.6831
Y: 0.3138 0.9366 0.6831
Y: 0.6862 0.0634 0.3169
Y: 0.6862 0.4366 0.3169
Y: 0.8138 0.5634 0.8169
Y: 0.8138 0.9366 0.8169
Sc: 0.0393 0.2500 0.6367
Sc: 0.4607 0.7500 0.1367
Sc: 0.5393 0.2500 0.8633
Sc: 0.9607 0.7500 0.3633
Ni: 0.1036 0.7500 0.9789
Ni: 0.3964 0.2500 0.4789
Ni: 0.6036 0.7500 0.5211
Ni: 0.8964 0.2500 0.0211

Y4ScNi: relaxed, PBE.

Calculated values
symmetry = F-43m
DFT formation energy = 655 meV/atom

Cell lengths 6.2522, 6.2522, 6.2522 Å; angles 60.00, 60.00, 60.00 degrees
Positions (direct):
Y: 0.1252 0.1252 0.1252
Y: 0.1252 0.1252 0.6244
Y: 0.1252 0.6244 0.1252
Y: 0.6244 0.1252 0.1252
Sc: 0.5000 0.5000 0.5000
Ni: 0.7500 0.7500 0.7500

Y2ScNi2: relaxed, PBE.

Calculated values
symmetry = P4/mbm
DFT formation energy = -342 meV/atom
energy above the most stable polymorph in this dataset = 30 meV/atom

Cell lengths 7.2315, 7.2315, 4.0018 Å; angles 90.00, 90.00, 90.00 degrees
Positions (direct):
Y: 0.1722 0.3278 0.0000
Y: 0.3278 0.8278 0.0000
Y: 0.6722 0.1722 0.0000
Y: 0.8278 0.6722 0.0000
Sc: 0.0000 0.0000 0.5000
Sc: 0.5000 0.5000 0.5000
Ni: 0.1241 0.6241 0.5000
Ni: 0.3759 0.1241 0.5000
Ni: 0.6241 0.8759 0.5000
Ni: 0.8759 0.3759 0.5000

Y2Sc2Ni: relaxed, PBE.

Calculated values
symmetry = P4/mbm
DFT formation energy = -10 meV/atom

Cell lengths 6.7888, 6.7888, 5.3594 Å; angles 90.00, 90.00, 90.00 degrees
Positions (direct):
Y: 0.1675 0.3325 0.0000
Y: 0.3325 0.8325 0.0000
Y: 0.6675 0.1675 0.0000
Y: 0.8325 0.6675 0.0000
Sc: 0.1558 0.6558 0.5000
Sc: 0.3442 0.1558 0.5000
Sc: 0.6558 0.8442 0.5000
Sc: 0.8442 0.3442 0.5000
Ni: 0.0000 0.0000 0.5000
Ni: 0.5000 0.5000 0.5000

Y2ScNi: relaxed, PBE.

Calculated values
symmetry = Cmmm
DFT formation energy = 19 meV/atom
energy above the most stable polymorph in this dataset = 253 meV/atom

Cell lengths 5.0377, 5.0377, 3.6938 Å; angles 90.00, 90.00, 90.07 degrees
Positions (direct):
Y: 0.0000 0.5000 0.0000
Y: 0.5000 0.0000 0.0000
Sc: 0.0000 0.0000 0.5000
Ni: 0.5000 0.5000 0.5000

YScNi: relaxed, PBE.

Calculated values
symmetry = F-43m
DFT formation energy = -147 meV/atom
energy above the most stable polymorph in this dataset = 176 meV/atom

Cell lengths 4.6027, 4.6027, 4.6027 Å; angles 60.00, 60.00, 60.00 degrees
Positions (direct):
Y: 0.0000 0.0000 0.0000
Sc: 0.5000 0.5000 0.5000
Ni: 0.7500 0.7500 0.7500

YScNi2: relaxed, PBE.

Calculated values
symmetry = I-42d
DFT formation energy = -13 meV/atom

Cell lengths 5.8550, 5.8550, 5.8550 Å; angles 105.79, 105.79, 117.11 degrees
Positions (direct):
Y: 0.0000 0.0000 0.0000
Y: 0.7500 0.2500 0.5000
Sc: 0.2500 0.7500 0.5000
Sc: 0.5000 0.5000 0.0000
Ni: 0.1483 0.1250 0.5233
Ni: 0.3750 0.8517 0.9767
Ni: 0.6017 0.6250 0.4767
Ni: 0.8750 0.3983 0.0233

YScNi: relaxed, PBE.

Calculated values
symmetry = P-1
DFT formation energy = -260 meV/atom
energy above the most stable polymorph in this dataset = 64 meV/atom

Cell lengths 3.2968, 6.4203, 6.6932 Å; angles 106.91, 90.04, 104.84 degrees
Positions (direct):
Y: 0.1357 0.2703 0.0703
Y: 0.8643 0.7297 0.9297
Sc: 0.1300 0.2606 0.5600
Sc: 0.8700 0.7394 0.4400
Ni: 0.4891 0.9792 0.2795
Ni: 0.5109 0.0208 0.7205

YScNi3: relaxed, PBE.

Calculated values
symmetry = Pm-3m
DFT formation energy = 795 meV/atom
energy above the most stable polymorph in this dataset = 538 meV/atom

Cell lengths 4.6918, 4.6918, 4.6918 Å; angles 90.00, 90.00, 90.00 degrees
Positions (direct):
Y: 0.0000 0.0000 0.0000
Sc: 0.5000 0.5000 0.5000
Ni: 0.0000 0.0000 0.5000
Ni: 0.0000 0.5000 0.0000
Ni: 0.5000 0.0000 0.0000

Y2ScNi: relaxed, PBE.

Calculated values
symmetry = Amm2
DFT formation energy = -149 meV/atom
energy above the most stable polymorph in this dataset = 85 meV/atom

Cell lengths 3.5459, 6.3292, 6.3292 Å; angles 44.42, 90.00, 90.00 degrees
Positions (direct):
Y: 0.0000 0.0000 0.0000
Y: 0.5000 0.3113 0.3113
Sc: 0.5000 0.6178 0.6178
Ni: 0.0000 0.7700 0.7700

YScNi: relaxed, PBE.

Calculated values
symmetry = P-1
DFT formation energy = -295 meV/atom
energy above the most stable polymorph in this dataset = 29 meV/atom

Cell lengths 3.4703, 6.3242, 6.7421 Å; angles 110.23, 104.86, 90.09 degrees
Positions (direct):
Y: 0.2129 0.2282 0.4240
Y: 0.7871 0.7718 0.5760
Sc: 0.4797 0.2436 0.9608
Sc: 0.5203 0.7564 0.0392
Ni: 0.1079 0.5636 0.2169
Ni: 0.8921 0.4364 0.7831

Y2ScNi: relaxed, PBE.

Calculated values
symmetry = Fm-3m
DFT formation energy = 112 meV/atom
energy above the most stable polymorph in this dataset = 346 meV/atom

Cell lengths 5.1095, 5.1095, 5.1095 Å; angles 60.00, 60.00, 60.00 degrees
Positions (direct):
Y: 0.2500 0.2500 0.2500
Y: 0.7500 0.7500 0.7500
Sc: 0.0000 0.0000 0.0000
Ni: 0.5000 0.5000 0.5000

YSc2Ni9: relaxed, PBE.

Calculated values
symmetry = R-3m
DFT formation energy = -445 meV/atom

Cell lengths 8.4203, 8.4203, 8.4203 Å; angles 33.70, 33.70, 33.70 degrees
Positions (direct):
Y: 0.0000 0.0000 0.0000
Sc: 0.1411 0.1411 0.1411
Sc: 0.8589 0.8589 0.8589
Ni: 0.0818 0.5862 0.5862
Ni: 0.3334 0.3334 0.3334
Ni: 0.4138 0.4138 0.9182
Ni: 0.4138 0.9182 0.4138
Ni: 0.5000 0.5000 0.5000
Ni: 0.5862 0.0818 0.5862
Ni: 0.5862 0.5862 0.0818
Ni: 0.6666 0.6666 0.6666
Ni: 0.9182 0.4138 0.4138

Y2Sc3Ni2: relaxed, PBE.

Calculated values
symmetry = C2/m
DFT formation energy = -269 meV/atom
energy above the most stable polymorph in this dataset = 0 meV/atom

Cell lengths 6.0505, 6.0505, 8.5442 Å; angles 114.60, 114.60, 33.36 degrees
Positions (direct):
Y: 0.1585 0.1585 0.3022
Y: 0.8415 0.8415 0.6978
Sc: 0.3815 0.3815 0.0679
Sc: 0.5000 0.5000 0.5000
Sc: 0.6185 0.6185 0.9321
Ni: 0.1638 0.1638 0.7361
Ni: 0.8362 0.8362 0.2639

YScNi2: relaxed, PBE.

Calculated values
symmetry = Amm2
DFT formation energy = -434 meV/atom

Cell lengths 4.1969, 5.2615, 5.2615 Å; angles 39.50, 90.00, 90.00 degrees
Positions (direct):
Y: 0.0000 0.0000 0.0000
Sc: 0.5000 0.7210 0.7210
Ni: 0.0000 0.2792 0.2792
Ni: 0.5000 0.4243 0.4243

YSc3Ni4: relaxed, PBE.

Calculated values
symmetry = R-3m
DFT formation energy = -456 meV/atom

Cell lengths 8.1259, 8.1259, 8.1259 Å; angles 32.19, 32.19, 32.19 degrees
Positions (direct):
Y: 0.0000 0.0000 0.0000
Sc: 0.2460 0.2460 0.2460
Sc: 0.5000 0.5000 0.5000
Sc: 0.7540 0.7540 0.7540
Ni: 0.1273 0.1273 0.1273
Ni: 0.3870 0.3870 0.3870
Ni: 0.6130 0.6130 0.6130
Ni: 0.8727 0.8727 0.8727

YSc5Ni6: relaxed, PBE.

Calculated values
symmetry = Cmmm
DFT formation energy = -468 meV/atom

Cell lengths 7.2216, 7.2216, 6.3384 Å; angles 90.00, 90.00, 143.18 degrees
Positions (direct):
Y: 0.0000 0.0000 0.0000
Sc: 0.0000 0.0000 0.5000
Sc: 0.3306 0.6694 0.0000
Sc: 0.3338 0.6662 0.5000
Sc: 0.6662 0.3338 0.5000
Sc: 0.6694 0.3306 0.0000
Ni: 0.1727 0.8273 0.2558
Ni: 0.1727 0.8273 0.7442
Ni: 0.5000 0.5000 0.2674
Ni: 0.5000 0.5000 0.7326
Ni: 0.8273 0.1727 0.2558
Ni: 0.8273 0.1727 0.7442

YScNi2: relaxed, PBE.

Calculated values
symmetry = P2/m
DFT formation energy = -424 meV/atom

Cell lengths 3.2887, 3.2501, 6.6010 Å; angles 90.00, 90.18, 90.00 degrees
Positions (direct):
Y: 0.0000 0.0000 0.0000
Sc: 0.0000 0.0000 0.5000
Ni: 0.4994 0.5000 0.2773
Ni: 0.5006 0.5000 0.7227

Y2ScNi: relaxed, PBE.

Calculated values
symmetry = Imm2
DFT formation energy = -175 meV/atom
energy above the most stable polymorph in this dataset = 60 meV/atom

Cell lengths 6.2034, 6.2034, 6.2034 Å; angles 147.39, 130.82, 60.26 degrees
Positions (direct):
Y: 0.0000 0.0000 0.0000
Y: 0.7001 0.2001 0.5000
Sc: 0.3074 0.8074 0.5000
Ni: 0.4893 0.4893 0.0000